Compound: Ca4Al6WO16
Source: Alexandria
Functional: PBEsol
Structure: relaxed

The calculation puts the magnetization at 0.0 μB per formula unit. The value obtained for the formation energy without anion corrections is -78.9 eV per formula unit. For the density of states at the Fermi level, the calculation gives 0.00 states/eV/atom.

The space group is I-43m (No. 217) and the conventional cell measures 9.3752, 9.3752 and 9.3752 Å, with angles of 90.00, 90.00 and 90.00 degrees. Symmetry generates all atoms from Ca at (0.2490, 0.2490, 0.2490), Al at (0.0000, 0.2500, 0.5000), W at (0.0000, 0.0000, 0.0000), O at (0.0442, 0.3457, 0.3457) and O at (0.1100, 0.1100, 0.1100).